The following is a DFT calculation (GGA-PBE) of a relaxed Na2PrInCl6 crystal.

abc: 7.3234 7.3234 19.7929
angles: 90.00 90.00 120.00
Space group R3 (No. 146, hexagonal axes)
Asymmetric unit:
Na1 0.0000 0.0000 0.0000 [3 per cell]
Na2 0.0000 0.0000 0.4889 [3 per cell]
Pr1 0.0000 0.0000 0.6877 [3 per cell]
In1 0.0000 0.0000 0.2046 [3 per cell]
Cl1 0.0124 0.3403 0.7535 [9 per cell]
Cl2 0.0259 0.6169 0.2608 [9 per cell]

Calculated volume   30.6 Å³/atom
Mass density   2.8 Mg/m³
Crystal system   trigonal
DFT total energy   -3.92 eV/atom